CaLa3 | PBE-GGA | relaxed

Cell lengths 6.529, 6.529, 3.754 Å; angles 90.00, 90.00, 109.52 degrees
Element x y z (fractional)
La  0.000  0.500  0.500
Ca  0.000  0.000  0.000
La  0.500  0.500  0.000
La  0.500  0.000  0.500

- Formation energy: 0.04 eV per atom
- Size of the total moment: 0.000 μB per atom
- Symmetry: No. 65
- Calculated volume: 37.710 Å³/atom